Below is Zr3ScAs after structural relaxation, with properties calculated at the GGA-PBEsol level.

Output
Calculated volume in Å³/cell: 125
E in eV/atom: -7.87

Cell: 4.9943 4.9943 4.9943 Å, 90.00 90.00 90.00°
Last column: nearest neighbours and their distance in Å.
Fractional coordinates of all 5 atoms:
1 Zr 0.0000 0.0000 0.5000  2 As 2.50
2 Zr 0.0000 0.5000 0.0000  2 As 2.50
3 Zr 0.5000 0.0000 0.0000  2 As 2.50
4 Sc 0.5000 0.5000 0.5000  12 Zr 3.53
5 As 0.0000 0.0000 0.0000  6 Zr 2.50

---

Below is Ba3LaTa3O12 after structural relaxation, with properties calculated at the GGA-PBEsol level.

Output
Calculated volume in Å³/cell: 262
E in eV/atom: -8.99

Cell: 9.7732 9.7732 9.7732 Å, 34.10 34.10 34.10°
Last column: nearest neighbours and their distance in Å.
Fractional coordinates of all 19 atoms:
1 Ba 0.0000 0.0000 0.0000  12 O 2.69-2.95
2 Ba 0.1544 0.1544 0.1544  12 O 2.71-3.00
3 Ba 0.5766 0.5766 0.5766  12 O 2.76-2.87
4 La 0.4327 0.4327 0.4327  3 O 2.41
5 Ta 0.2880 0.2880 0.2880  6 O 1.97-2.03
6 Ta 0.7112 0.7112 0.7112  3 O 1.87
7 Ta 0.8642 0.8642 0.8642  6 O 1.91-2.12
8 O 0.0791 0.0791 0.5769  2 Ta 2.03-2.12
9 O 0.0791 0.5769 0.0791  2 Ta 2.03-2.12
10 O 0.1643 0.6625 0.6625  1 Ta 1.91
11 O 0.4115 0.9094 0.9094  1 Ta 1.87
12 O 0.4929 0.4929 0.9973  2 Ta 1.97-2.17
13 O 0.4929 0.9973 0.4929  2 Ta 1.97-2.17
14 O 0.5769 0.0791 0.0791  2 Ta 2.03-2.12
15 O 0.6625 0.1643 0.6625  1 Ta 1.91
16 O 0.6625 0.6625 0.1643  1 Ta 1.91
17 O 0.9094 0.4115 0.9094  1 Ta 1.87
18 O 0.9094 0.9094 0.4115  1 Ta 1.87
19 O 0.9973 0.4929 0.4929  2 Ta 1.97-2.17

---

Below is YTa4 after structural relaxation, with properties calculated at the GGA-PBEsol level.

Output
Calculated volume in Å³/cell: 211
E in eV/atom: -10.89

Cell: 4.0669 4.0669 12.7362 Å, 90.00 90.00 90.00°
Last column: nearest neighbours and their distance in Å.
Fractional coordinates of all 10 atoms:
1 Y 0.0000 0.0000 0.0000  8 Ta 3.17
2 Y 0.5000 0.5000 0.5000  8 Ta 3.17
3 Ta 0.0000 0.0000 0.3960  5 Ta 2.65-2.76
4 Ta 0.0000 0.0000 0.6040  5 Ta 2.65-2.76
5 Ta 0.0000 0.5000 0.2500  8 Ta 2.76-2.88
6 Ta 0.0000 0.5000 0.7500  8 Ta 2.76-2.88
7 Ta 0.5000 0.0000 0.2500  8 Ta 2.76-2.88
8 Ta 0.5000 0.0000 0.7500  8 Ta 2.76-2.88
9 Ta 0.5000 0.5000 0.1040  5 Ta 2.65-2.76
10 Ta 0.5000 0.5000 0.8960  5 Ta 2.65-2.76

---

Below is SnH3Au after structural relaxation, with properties calculated at the GGA-PBEsol level.

Output
Calculated volume in Å³/cell: 56
Excess energy over the best structure of this formula in the dataset in eV per atom: 0.0000
E in eV/atom: -3.23

Cell: 3.8318 3.8318 3.8318 Å, 90.00 90.00 90.00°
Last column: nearest neighbours and their distance in Å.
Fractional coordinates of all 5 atoms:
1 Sn 0.0000 0.0000 0.0000  12 H 2.71
2 H 0.0000 0.5000 0.5000  2 Au 1.92
3 H 0.5000 0.0000 0.5000  2 Au 1.92
4 H 0.5000 0.5000 0.0000  2 Au 1.92
5 Au 0.5000 0.5000 0.5000  6 H 1.92